(1)
Density functional theory data (PBEsol) for crystalline TlSi2GeSe at its relaxed geometry.

Cell and atoms, written as CIF:
```
data_TlSi2GeSe
_chemical_formula_sum 'Tl1 Si2 Ge1 Se1'
_symmetry_space_group_name_H-M 'P 4/m m m'
_symmetry_Int_Tables_number 123
_symmetry_space_group_name_Hall '-P 4 2'
_cell_length_a 4.8063
_cell_length_b 4.8063
_cell_length_c 5.1172
_cell_angle_alpha 90.00
_cell_angle_beta 90.00
_cell_angle_gamma 90.00
loop_
_atom_site_label
_atom_site_type_symbol
_atom_site_fract_x
_atom_site_fract_y
_atom_site_fract_z
_atom_site_occupancy
Tl1 Tl 0.0000 0.0000 0.0000 1
Si1 Si 0.0000 0.5000 0.5000 1
Ge1 Ge 0.5000 0.5000 0.5000 1
Se1 Se 0.5000 0.5000 0.0000 1
```


(2)
Density functional theory data (PBEsol) for crystalline Sm6Ge3Se14 at its relaxed geometry.

Cell and atoms, written as CIF:
```
data_Sm6Ge3Se14
_chemical_formula_sum 'Sm6 Ge3 Se14'
_symmetry_space_group_name_H-M 'P 3'
_symmetry_Int_Tables_number 143
_cell_length_a 10.4126
_cell_length_b 10.4126
_cell_length_c 5.9577
_cell_angle_alpha 90.00
_cell_angle_beta 90.00
_cell_angle_gamma 120.00
loop_
_symmetry_equiv_pos_as_xyz
'x,y,z'
'-y,x-y,z'
'-x+y,-x,z'
loop_
_atom_site_label
_atom_site_type_symbol
_atom_site_fract_x
_atom_site_fract_y
_atom_site_fract_z
_atom_site_occupancy
Sm1 Sm 0.0243 0.5613 0.0000 1
Sm2 Sm 0.3086 0.1058 0.4955 1
Ge1 Ge 0.0000 0.0000 0.9121 1
Ge2 Ge 0.3333 0.6667 0.4182 1
Ge3 Ge 0.6667 0.3333 0.7643 1
Se1 Se 0.0000 0.0000 0.3031 1
Se2 Se 0.0857 0.8473 0.7486 1
Se3 Se 0.1806 0.4283 0.2533 1
Se4 Se 0.3333 0.6667 0.8087 1
Se5 Se 0.4064 0.1673 0.0120 1
Se6 Se 0.5040 0.4301 0.5197 1
```


(3)
Density functional theory data (PBEsol) for crystalline SnGeSe2 at its relaxed geometry.

Cell and atoms, written as CIF:
```
data_SnGeSe2
_chemical_formula_sum 'Sn2 Ge2 Se4'
_symmetry_space_group_name_H-M 'P m c 21'
_symmetry_Int_Tables_number 26
_cell_length_a 3.9843
_cell_length_b 4.3516
_cell_length_c 11.0475
_cell_angle_alpha 90.00
_cell_angle_beta 90.00
_cell_angle_gamma 90.00
loop_
_symmetry_equiv_pos_as_xyz
'x,y,z'
'-x,-y,z+1/2'
'-x,y,z'
'x,-y,z+1/2'
loop_
_atom_site_label
_atom_site_type_symbol
_atom_site_fract_x
_atom_site_fract_y
_atom_site_fract_z
_atom_site_occupancy
Sn1 Sn 0.0000 0.1560 0.0000 1
Ge1 Ge 0.5000 0.3654 0.2305 1
Se1 Se 0.0000 0.2500 0.7464 1
Se2 Se 0.5000 0.2767 0.4567 1
```


(4)
Density functional theory data (PBEsol) for crystalline SnGe4Te4Se at its relaxed geometry.

Cell and atoms, written as CIF:
```
data_SnGe4Te4Se
_chemical_formula_sum 'Sn3 Ge12 Te12 Se3'
_symmetry_space_group_name_H-M 'R 3 m'
_symmetry_Int_Tables_number 160
_symmetry_space_group_name_Hall 'R 3 -2"'
_cell_length_a 4.1683
_cell_length_b 4.1683
_cell_length_c 52.1898
_cell_angle_alpha 90.00
_cell_angle_beta 90.00
_cell_angle_gamma 120.00
loop_
_atom_site_label
_atom_site_type_symbol
_atom_site_fract_x
_atom_site_fract_y
_atom_site_fract_z
_atom_site_occupancy
Sn1 Sn 0.0000 0.0000 0.0000 1
Ge1 Ge 0.0000 0.0000 0.2039 1
Ge2 Ge 0.0000 0.0000 0.4046 1
Ge3 Ge 0.0000 0.0000 0.6037 1
Ge4 Ge 0.0000 0.0000 0.8042 1
Te1 Te 0.0000 0.0000 0.1084 1
Te2 Te 0.0000 0.0000 0.5081 1
Te3 Te 0.0000 0.0000 0.7089 1
Te4 Te 0.0000 0.0000 0.9079 1
Se1 Se 0.0000 0.0000 0.3044 1
```


(5)
Density functional theory data (PBEsol) for crystalline Sn4GeTe4Se at its relaxed geometry.

Cell and atoms, written as CIF:
```
data_Sn4GeTe4Se
_chemical_formula_sum 'Sn12 Ge3 Te12 Se3'
_symmetry_space_group_name_H-M 'R 3 m'
_symmetry_Int_Tables_number 160
_symmetry_space_group_name_Hall 'R 3 -2"'
_cell_length_a 4.3370
_cell_length_b 4.3370
_cell_length_c 53.5044
_cell_angle_alpha 90.00
_cell_angle_beta 90.00
_cell_angle_gamma 120.00
loop_
_atom_site_label
_atom_site_type_symbol
_atom_site_fract_x
_atom_site_fract_y
_atom_site_fract_z
_atom_site_occupancy
Sn1 Sn 0.0000 0.0000 0.0000 1
Sn2 Sn 0.0000 0.0000 0.1929 1
Sn3 Sn 0.0000 0.0000 0.4036 1
Sn4 Sn 0.0000 0.0000 0.5965 1
Ge1 Ge 0.0000 0.0000 0.7939 1
Te1 Te 0.0000 0.0000 0.2963 1
Te2 Te 0.0000 0.0000 0.4890 1
Te3 Te 0.0000 0.0000 0.6997 1
Te4 Te 0.0000 0.0000 0.8927 1
Se1 Se 0.0000 0.0000 0.0982 1
```


(6)
Density functional theory data (PBEsol) for crystalline SrGeSe3 at its relaxed geometry.

Cell and atoms, written as CIF:
```
data_SrGeSe3
_chemical_formula_sum 'Sr1 Ge1 Se3'
_symmetry_space_group_name_H-M 'P m -3 m'
_symmetry_Int_Tables_number 221
_symmetry_space_group_name_Hall '-P 4 2 3'
_cell_length_a 5.5513
_cell_length_b 5.5513
_cell_length_c 5.5513
_cell_angle_alpha 90.00
_cell_angle_beta 90.00
_cell_angle_gamma 90.00
loop_
_atom_site_label
_atom_site_type_symbol
_atom_site_fract_x
_atom_site_fract_y
_atom_site_fract_z
_atom_site_occupancy
Sr1 Sr 0.0000 0.0000 0.0000 1
Ge1 Ge 0.5000 0.5000 0.5000 1
Se1 Se 0.0000 0.0000 0.5000 1
```


no.,calculated total energy (eV/cell),ΔE_f (raw) (eV per atom),total magnetization (μB/cell)
1,-19.854,0.61,0.00
2,-130.078,-1.34,0.00
3,-36.411,-0.33,0.00
4,-130.587,-0.16,0.00
5,-127.487,-0.26,0.00
6,-16.215,0.42,0.06